# 1
# SmTmCrN3

Crystalline SmTmCrN3 at its relaxed geometry (PBE, Alexandria).

Lattice parameters (Å, degrees): 3.3906 7.2300 7.3813 99.07 90.00 90.00
With the nearest neighbours (Å) after each atom.
Fractional coordinates of all 12 atoms:
Sm1 0.7500 0.8229 0.8217  3 N 2.40-2.41
Sm2 0.2500 0.1771 0.1783  3 N 2.40-2.41
Tm1 0.2500 0.6352 0.1655  6 N 2.28-2.50
Tm2 0.7500 0.3648 0.8345  6 N 2.28-2.50
Cr1 0.2500 0.0815 0.5993  4 N 1.82-1.92
Cr2 0.7500 0.9185 0.4007  4 N 1.82-1.92
N1 0.2500 0.8320 0.4763  3 Cr 1.89-1.92
N2 0.7500 0.8821 0.1511  1 Cr 1.82
N3 0.7500 0.4072 0.1470  3 Tm 2.28-2.35, 2 Sm 2.41
N4 0.7500 0.1680 0.5237  3 Cr 1.89-1.92
N5 0.2500 0.5928 0.8530  3 Tm 2.28-2.35, 2 Sm 2.41
N6 0.2500 0.1179 0.8489  1 Cr 1.82

Summary:
Space group: P2_1/m
Formation energy (no corrections), eV per atom: -1.15
Fermi-level density of states, states/eV/cell: 5.5


# 2
# TaCrIn

Crystalline TaCrIn at its relaxed geometry (PBE, Alexandria).

Lattice parameters (Å, degrees): 4.5389 4.5389 2.8559 90.00 90.00 120.00
With the nearest neighbours (Å) after each atom.
Fractional coordinates of all 3 atoms:
Cr1 0.0000 0.0000 0.9747  3 Ta 2.71, 3 In 2.78, 2 Cr 2.86
In1 0.6667 0.3333 0.2974  3 Cr 2.78, 2 In 2.86, 6 Ta 2.89-3.08
Ta1 0.3333 0.6667 0.7279  3 Cr 2.71, 2 Ta 2.86, 3 In 2.89

Summary:
Space group: P3m1
Distance to the lowest polymorph of the same formula, kJ per mole of atoms: 12.3
Fermi-level density of states, states/eV/cell: 1.1


- Which of these has the highest Fermi-level density of states?
  SmTmCrN3


- What is the Fermi-level density of states in the second record?
  1.1 states/eV/cell


Please write out number 1 again, unchanged.
# SmTmCrN3

Crystalline SmTmCrN3 at its relaxed geometry (PBE, Alexandria).

Lattice parameters (Å, degrees): 3.3906 7.2300 7.3813 99.07 90.00 90.00
With the nearest neighbours (Å) after each atom.
Fractional coordinates of all 12 atoms:
Sm1 0.7500 0.8229 0.8217  3 N 2.40-2.41
Sm2 0.2500 0.1771 0.1783  3 N 2.40-2.41
Tm1 0.2500 0.6352 0.1655  6 N 2.28-2.50
Tm2 0.7500 0.3648 0.8345  6 N 2.28-2.50
Cr1 0.2500 0.0815 0.5993  4 N 1.82-1.92
Cr2 0.7500 0.9185 0.4007  4 N 1.82-1.92
N1 0.2500 0.8320 0.4763  3 Cr 1.89-1.92
N2 0.7500 0.8821 0.1511  1 Cr 1.82
N3 0.7500 0.4072 0.1470  3 Tm 2.28-2.35, 2 Sm 2.41
N4 0.7500 0.1680 0.5237  3 Cr 1.89-1.92
N5 0.2500 0.5928 0.8530  3 Tm 2.28-2.35, 2 Sm 2.41
N6 0.2500 0.1179 0.8489  1 Cr 1.82

Summary:
Space group: P2_1/m
Formation energy (no corrections), eV per atom: -1.15
Fermi-level density of states, states/eV/cell: 5.5